1.
A relaxed K2V3P4O17 crystal, computed with PBEsol.

Properties
The crystal system is monoclinic. The value obtained for the uncorrected formation energy is -2.29 eV per atom. The value obtained for the magnetization is 6.00 μB/cell. Its volume is 757.4 Å³ per cell.

a b c (Å): 4.9722 9.2061 16.5804
angles (deg): 93.65 90.00 90.00
Atoms (fractional coordinates):
K1 0.7764 0.0006 0.6700
K2 0.2109 0.5030 0.8299
K3 0.7891 0.0030 0.3299
K4 0.2236 0.5006 0.1700
V1 0.7001 0.4908 0.3435
V2 0.2801 0.0082 0.1561
V3 0.7199 0.5082 0.6561
V4 0.2999 0.9908 0.8435
V5 0.3127 0.0012 0.5000
V6 0.6873 0.5012 0.0000
P1 0.1905 0.6989 0.3966
P2 0.7687 0.8004 0.1027
P3 0.2313 0.3004 0.6027
P4 0.8095 0.1989 0.8966
P5 0.2193 0.3089 0.4261
P6 0.8001 0.1903 0.0733
P7 0.1999 0.6903 0.5733
P8 0.7807 0.8089 0.9261
O1 0.7134 0.4495 0.2483
O2 0.2933 0.0508 0.2512
O3 0.7067 0.5508 0.7512
O4 0.2866 0.9495 0.7483
O5 0.7374 0.1337 0.9813
O6 0.1613 0.3672 0.5182
O7 0.8387 0.8672 0.0182
O8 0.2626 0.6337 0.4813
O9 0.7899 0.3567 0.0751
O10 0.1931 0.1429 0.4246
O11 0.8069 0.6429 0.9246
O12 0.2101 0.8567 0.5751
O13 0.3817 0.6220 0.3367
O14 0.9624 0.8746 0.1628
O15 0.0376 0.3746 0.6628
O16 0.6183 0.1220 0.8367
O17 0.8942 0.6688 0.3751
O18 0.4730 0.8315 0.1243
O19 0.5270 0.3315 0.6243
O20 0.1058 0.1688 0.8751
O21 0.0851 0.1438 0.0943
O22 0.5054 0.3534 0.4050
O23 0.4946 0.8534 0.9050
O24 0.9149 0.6438 0.5943
O25 0.7714 0.3642 0.9071
O26 0.1919 0.1353 0.5910
O27 0.8081 0.6353 0.0910
O28 0.2286 0.8642 0.4071
O29 0.0118 0.3781 0.3750
O30 0.5912 0.1216 0.1241
O31 0.4088 0.6216 0.6241
O32 0.9882 0.8781 0.8750
O33 0.3642 0.5083 0.0016
O34 0.6358 0.0083 0.5016

---

2.
A relaxed K2LiSe crystal, computed with PBEsol.

Properties
The crystal system is monoclinic. The value obtained for the uncorrected formation energy is -0.47 eV per atom. The density of states at the Fermi level is 0.46 states/eV per atom. The value obtained for the magnetization is 0.48 μB/cell. Its volume is 129.4 Å³ per cell.

a b c (Å): 4.3094 4.3094 6.9705
angles (deg): 90.00 90.07 90.00
Atoms (fractional coordinates):
K1 0.0011 0.0000 0.7056
K2 0.9989 0.0000 0.2944
Li1 0.5000 0.5000 0.0000
Se1 0.5000 0.5000 0.5000

---

3.
A relaxed Zn3Ag5 crystal, computed with PBEsol.

Properties
The crystal system is orthorhombic. The density of states at the Fermi level is 0.21 states/eV per atom. The offset from the most stable computed form is 0 meV per atom. The value obtained for the magnetization is 0.00 μB/cell. Its volume is 124.0 Å³ per cell.

a b c (Å): 4.0418 5.5562 5.5562
angles (deg): 96.28 90.00 90.00
Atoms (fractional coordinates):
Zn1 0.0000 0.5000 0.5000
Zn2 0.5000 0.7659 0.2341
Zn3 0.5000 0.2341 0.7659
Ag1 0.0000 0.0000 0.0000
Ag2 0.0000 0.5000 0.0000
Ag3 0.0000 0.0000 0.5000
Ag4 0.5000 0.7277 0.7277
Ag5 0.5000 0.2723 0.2723

---

- The highest magnetization belongs to which entry?
  K2V3P4O17